(1)
{"formula": "PuHfTl2", "functional": "PBE", "state": "relaxed", "sg": "P4/mmm (123)", "lattice_angstrom": [[3.227, 0.000, 0.000], [0.000, 3.227, 0.000], [0.000, 0.000, 9.390]], "species": ["Pu", "Hf", "Tl", "Tl"], "frac_coords": [[0.000, 0.000, 0.000], [0.000, 0.000, 0.500], [0.500, 0.500, 0.264], [0.500, 0.500, 0.736]]}

=====

(2)
{"formula": "PuHfTl2", "functional": "PBE", "state": "relaxed", "sg": "R-3m (166)", "lattice_angstrom": [[3.268, 0.000, 0.000], [-1.634, 2.830, 0.000], [0.000, 0.000, 35.076]], "species": ["Pu", "Pu", "Pu", "Hf", "Hf", "Hf", "Tl", "Tl", "Tl", "Tl", "Tl", "Tl"], "frac_coords": [[0.000, 0.000, 0.000], [0.333, 0.667, 0.667], [0.667, 0.333, 0.333], [0.000, 0.000, 0.500], [0.333, 0.667, 0.167], [0.667, 0.333, 0.833], [0.000, 0.000, 0.416], [0.000, 0.000, 0.584], [0.333, 0.667, 0.083], [0.333, 0.667, 0.251], [0.667, 0.333, 0.749], [0.667, 0.333, 0.917]]}

=====

(3)
{"formula": "PuHf2Tl", "functional": "PBE", "state": "relaxed", "sg": "P4/mmm (123)", "lattice_angstrom": [[4.648, 0.000, 0.000], [0.000, 4.648, 0.000], [0.000, 0.000, 4.248]], "species": ["Pu", "Hf", "Hf", "Tl"], "frac_coords": [[0.000, 0.000, 0.000], [0.000, 0.500, 0.500], [0.500, 0.000, 0.500], [0.500, 0.500, 0.000]]}

=====

(4)
{"formula": "Pu2HfTl", "functional": "PBE", "state": "relaxed", "sg": "P4/mmm (123)", "lattice_angstrom": [[4.390, 0.000, 0.000], [0.000, 4.390, 0.000], [0.000, 0.000, 5.004]], "species": ["Pu", "Pu", "Hf", "Tl"], "frac_coords": [[0.000, 0.500, 0.000], [0.500, 0.000, 0.000], [0.000, 0.000, 0.500], [0.500, 0.500, 0.500]]}

=====

E_form list, top to bottom, in eV/atom: 0.0488 0.3346 0.1032 0.0819
Energy relative to the lowest polymorph listed for this composition list, top to bottom, in eV per formula unit: 0.000 1.143 0.000 0.000